[1]
VASP calculation (PBE) on an optimized crystal structure of BeNbTlAg2.

a = 4.416 Å, b = 4.416 Å, c = 4.684 Å
α = 90.00°, β = 90.00°, γ = 90.00°
Fractional coordinates of all 5 atoms:
Be (0.000, 0.000, 0.000)
Nb (0.500, 0.500, 0.500)
Tl (0.000, 0.000, 0.500)
Ag (0.000, 0.500, 0.000)
Ag (0.500, 0.000, 0.000)

Output
Total magnetic moment (μB per cell): 0.0
D(E_F) (states/eV per atom): 0.58
Uncorrected energy (eV per atom): -3.6494
Symmetry: P4/mmm, No. 123
Calculated volume (A^3/atom): 18.3

[2]
VASP calculation (PBE) on an optimized crystal structure of Na4Dy3NpS8.

a = 8.119 Å, b = 8.119 Å, c = 8.119 Å
α = 59.05°, β = 59.05°, γ = 59.05°
Fractional coordinates of all 16 atoms:
Na (0.000, 0.000, 0.000)
Na (0.000, 0.500, 0.500)
Na (0.500, 0.000, 0.500)
Na (0.500, 0.500, 0.000)
Dy (0.000, 0.000, 0.500)
Dy (0.000, 0.500, 0.000)
Dy (0.500, 0.000, 0.000)
Np (0.500, 0.500, 0.500)
S (0.240, 0.744, 0.744)
S (0.242, 0.242, 0.242)
S (0.256, 0.256, 0.760)
S (0.256, 0.760, 0.256)
S (0.744, 0.240, 0.744)
S (0.744, 0.744, 0.240)
S (0.758, 0.758, 0.758)
S (0.760, 0.256, 0.256)

Output
Total magnetic moment (μB per cell): 4.0
D(E_F) (states/eV per atom): 0.42
Uncorrected energy (eV per atom): -5.7782
Symmetry: R-3m, No. 166
Calculated volume (A^3/atom): 23.1

[3]
VASP calculation (PBE) on an optimized crystal structure of YVGaGe2.

a = 4.908 Å, b = 4.908 Å, c = 4.756 Å
α = 90.00°, β = 90.00°, γ = 90.00°
Fractional coordinates of all 5 atoms:
Y (0.000, 0.000, 0.000)
V (0.500, 0.500, 0.000)
Ga (0.500, 0.500, 0.500)
Ge (0.000, 0.500, 0.500)
Ge (0.500, 0.000, 0.500)

Output
Total magnetic moment (μB per cell): 3.5
D(E_F) (states/eV per atom): 0.90
Uncorrected energy (eV per atom): -5.0917
Symmetry: P4/mmm, No. 123
Calculated volume (A^3/atom): 22.9

[4]
VASP calculation (PBE) on an optimized crystal structure of MgTl2Os.

a = 3.007 Å, b = 3.007 Å, c = 11.003 Å
α = 90.00°, β = 90.00°, γ = 113.22°
Fractional coordinates of all 4 atoms:
Mg (0.000, 0.000, 0.000)
Tl (0.000, 0.000, 0.409)
Tl (0.500, 0.500, 0.734)
Os (0.500, 0.500, 0.187)

Output
Total magnetic moment (μB per cell): 0.6
D(E_F) (states/eV per atom): 0.77
Symmetry: Cmm2, No. 35
Calculated volume (A^3/atom): 22.9
Excess energy over the best structure of this formula in the dataset (meV per atom): 102.3

[5]
VASP calculation (PBE) on an optimized crystal structure of Te2WS.

a = 9.779 Å, b = 9.779 Å, c = 9.779 Å
α = 19.25°, β = 19.25°, γ = 19.25°
Fractional coordinates of all 4 atoms:
Te (0.092, 0.092, 0.092)
Te (0.908, 0.908, 0.908)
W (0.000, 0.000, 0.000)
S (0.500, 0.500, 0.500)

Output
Total magnetic moment (μB per cell): 0.0
D(E_F) (states/eV per atom): 1.00
Uncorrected energy (eV per atom): -4.7433
Symmetry: R-3m, No. 166
Calculated volume (A^3/atom): 22.2

[6]
VASP calculation (PBE) on an optimized crystal structure of Tb2O3.

a = 3.703 Å, b = 3.703 Å, c = 5.909 Å
α = 90.00°, β = 90.00°, γ = 120.00°
Fractional coordinates of all 5 atoms:
Tb (0.333, 0.667, 0.250)
Tb (0.667, 0.333, 0.750)
O (0.000, 0.000, 0.000)
O (0.333, 0.667, 0.645)
O (0.667, 0.333, 0.355)

Output
Total magnetic moment (μB per cell): 0.0
D(E_F) (states/eV per atom): 0.00
Uncorrected energy (eV per atom): -8.3373
Symmetry: P-3m1, No. 164
Calculated volume (A^3/atom): 14.0